Material: VNiF2
Method: DFT, GGA+U
State: optimized geometry

a b c (Å): 6.0476 6.0476 5.1646
angles (deg): 54.16 54.16 90.00
Last column: nearest neighbours and their distance in Å.
Fractional coordinates of all 8 atoms:
F  0.1401  0.6250  0.2500  2 V 2.20, 2 Ni 2.32
Ni  0.0000  0.0000  0.0000  4 F 2.32
F  0.3750  0.3901  0.7500  2 V 2.20, 2 Ni 2.32
V  0.2500  0.7500  0.5000  4 F 2.20
F  0.6099  0.1250  0.2500  2 V 2.20, 2 Ni 2.32
Ni  0.7500  0.2500  0.5000  4 F 2.32
F  0.8750  0.8599  0.7500  2 V 2.20, 2 Ni 2.32
V  0.5000  0.5000  0.0000  4 F 2.20

Results
**Energy above the lowest structure with this stoichiometry**: 161 meV/atom
**Space group**: I-42d (122)
**D(E_F)**: 1.72 states/eV/f.u.